{"formula": "MnReBi2Cl", "functional": "meta-GGA SCAN", "state": "PBEsol geometry", "lattice_angstrom": [[-1.335, 3.952, 0.470], [-3.017, -0.506, -4.318], [-4.009, -1.711, 3.001]], "species": ["Re", "Mn", "Bi", "Bi", "Cl"], "frac_coords": [[0.500, 0.500, 0.500], [0.000, 0.000, 0.000], [0.000, 0.000, 0.500], [0.000, 0.500, 0.000], [0.500, 0.000, 0.000]], "formation_energy_uncorrected_mev_per_atom": 1033, "vol_a3_per_fu": 117.6}



{"formula": "BiMoPd2Cl", "functional": "meta-GGA SCAN", "state": "PBEsol geometry", "lattice_angstrom": [[-3.747, 3.323, 0.152], [-3.314, -3.709, -0.610], [-0.306, -0.582, 5.196]], "species": ["Mo", "Bi", "Pd", "Pd", "Cl"], "frac_coords": [[0.500, 0.500, 0.500], [0.000, 0.000, 0.000], [0.000, 0.500, 0.000], [0.500, 0.000, 0.000], [0.000, 0.000, 0.500]], "formation_energy_uncorrected_mev_per_atom": 1027, "vol_a3_per_fu": 131.5}



{"formula": "SiBiMoCl2", "functional": "meta-GGA SCAN", "state": "PBEsol geometry", "lattice_angstrom": [[-2.259, 3.831, -0.992], [-3.099, -1.001, 3.188], [3.124, 2.860, 3.935]], "species": ["Mo", "Si", "Bi", "Cl", "Cl"], "frac_coords": [[0.500, 0.500, 0.500], [0.000, 0.000, 0.000], [0.000, 0.000, 0.500], [0.000, 0.500, 0.000], [0.500, 0.000, 0.000]], "formation_energy_uncorrected_mev_per_atom": 518, "vol_a3_per_fu": 120.1}



{"formula": "BiPbN2Cl", "functional": "meta-GGA SCAN", "state": "PBEsol geometry", "lattice_angstrom": [[4.327, 0.000, 0.000], [0.000, 4.327, 0.000], [0.000, 0.000, 5.212]], "species": ["Pb", "N", "N", "Bi", "Cl"], "frac_coords": [[0.000, 0.000, 0.500], [0.000, 0.500, 0.000], [0.500, 0.000, 0.000], [0.500, 0.500, 0.500], [0.000, 0.000, 0.000]], "formation_energy_uncorrected_mev_per_atom": 1946, "vol_a3_per_fu": 97.6}



Repeat the third record exactly.
{"formula": "SiBiMoCl2", "functional": "meta-GGA SCAN", "state": "PBEsol geometry", "lattice_angstrom": [[-2.259, 3.831, -0.992], [-3.099, -1.001, 3.188], [3.124, 2.860, 3.935]], "species": ["Mo", "Si", "Bi", "Cl", "Cl"], "frac_coords": [[0.500, 0.500, 0.500], [0.000, 0.000, 0.000], [0.000, 0.000, 0.500], [0.000, 0.500, 0.000], [0.500, 0.000, 0.000]], "formation_energy_uncorrected_mev_per_atom": 518, "vol_a3_per_fu": 120.1}



Please write out number 2 again, unchanged.
{"formula": "BiMoPd2Cl", "functional": "meta-GGA SCAN", "state": "PBEsol geometry", "lattice_angstrom": [[-3.747, 3.323, 0.152], [-3.314, -3.709, -0.610], [-0.306, -0.582, 5.196]], "species": ["Mo", "Bi", "Pd", "Pd", "Cl"], "frac_coords": [[0.500, 0.500, 0.500], [0.000, 0.000, 0.000], [0.000, 0.500, 0.000], [0.500, 0.000, 0.000], [0.000, 0.000, 0.500]], "formation_energy_uncorrected_mev_per_atom": 1027, "vol_a3_per_fu": 131.5}